## one
An optimized crystal structure of Tb7Pm12Sm, computed with PBE.

Crystal system: trigonal
DOS at the Fermi energy: 34.17 states/eV/f.u.
Volume: 34.0 A^3/atom

Lattice parameters (Å, degrees): 15.2273 15.2273 10.1535 90.00 90.00 120.00
Space group R-3 (No. 148, hexagonal axes)
Asymmetric unit:
1 Tb 0.0000 0.0000 0.0000 (multiplicity 3)
2 Tb 0.0661 0.8205 0.4253 (multiplicity 18)
3 Pm 0.0453 0.8443 0.7514 (multiplicity 18)
4 Pm 0.0466 0.7992 0.0761 (multiplicity 18)
5 Sm 0.0000 0.0000 0.5000 (multiplicity 3)

---

## two
An optimized crystal structure of Tb7Pm12Sm, computed with PBE.

Crystal system: trigonal
DOS at the Fermi energy: 27.96 states/eV/f.u.
Volume: 34.6 A^3/atom

Lattice parameters (Å, degrees): 19.6509 19.6509 6.2065 90.00 90.00 120.00
Space group R-3 (No. 148, hexagonal axes)
Asymmetric unit:
1 Tb 0.0000 0.0000 0.0000 (multiplicity 3)
2 Tb 0.0818 0.1642 0.2906 (multiplicity 18)
3 Pm 0.9997 0.4126 0.9999 (multiplicity 18)
4 Pm 0.0968 0.5482 0.4633 (multiplicity 18)
5 Sm 0.0000 0.0000 0.5000 (multiplicity 3)

---

Stability order, top to bottom: one, two